NaLi14Pb: optimized geometry, GGA-PBE.

The structure in CIF format:
```
data_NaLi14Pb
_cell_length_a 6.1438
_cell_length_b 6.1438
_cell_length_c 8.6230
_cell_angle_alpha 90.00
_cell_angle_beta 90.00
_cell_angle_gamma 90.00
_space_group_name_H-M_alt 'P 4/m m m'
_space_group_IT_number 123
_space_group_name_Hall '-P 4 2'
loop_
_atom_site_label
_atom_site_type_symbol
_atom_site_fract_x
_atom_site_fract_y
_atom_site_fract_z
_atom_site_occupancy
Na1 Na 0.0000 0.0000 0.0000 1
Li1 Li 0.0000 0.0000 0.5000 1
Li2 Li 0.0000 0.5000 0.0000 1
Li3 Li 0.0000 0.5000 0.5000 1
Li4 Li 0.2589 0.2589 0.2547 1
Li5 Li 0.5000 0.5000 0.5000 1
Pb1 Pb 0.5000 0.5000 0.0000 1
```

Summary:
E_form = -61 meV/atom
volume = 325.5 Å³/cell
DOS at the Fermi energy = 6.90 states/eV/f.u.

***

Ga2Os2F: optimized geometry, GGA-PBE.

The structure in CIF format:
```
data_Ga2Os2F
_cell_length_a 7.4820
_cell_length_b 7.4820
_cell_length_c 2.7787
_cell_angle_alpha 90.00
_cell_angle_beta 90.00
_cell_angle_gamma 90.00
_space_group_name_H-M_alt 'P 4/m b m'
_space_group_IT_number 127
_space_group_name_Hall '-P 4 2ab'
loop_
_atom_site_label
_atom_site_type_symbol
_atom_site_fract_x
_atom_site_fract_y
_atom_site_fract_z
_atom_site_occupancy
Ga1 Ga 0.1758 0.3242 0.0000 1
Os1 Os 0.1201 0.6201 0.5000 1
F1 F 0.0000 0.0000 0.5000 1
```

Summary:
volume = 155.6 Å³/cell
uncorrected energy = -5.936 eV/atom
DOS at the Fermi energy = 3.91 states/eV/f.u.

***

HfAg2I: optimized geometry, GGA-PBE.

The structure in CIF format:
```
data_HfAg2I
_cell_length_a 3.4702
_cell_length_b 7.3684
_cell_length_c 8.5136
_cell_angle_alpha 71.62
_cell_angle_beta 78.30
_cell_angle_gamma 76.41
_space_group_name_H-M_alt 'P 1'
_space_group_IT_number 1
loop_
_space_group_symop_operation_xyz
'x,y,z'
loop_
_atom_site_label
_atom_site_type_symbol
_atom_site_fract_x
_atom_site_fract_y
_atom_site_fract_z
_atom_site_occupancy
Hf1 Hf 0.0000 0.0000 0.0000 1
Hf2 Hf 0.2991 0.3202 0.0815 1
Ag1 Ag 0.2594 0.7965 0.6817 1
Ag2 Ag 0.5907 0.1138 0.7026 1
Ag3 Ag 0.6814 0.6820 0.9539 1
Ag4 Ag 0.9089 0.4066 0.7740 1
I1 I 0.3943 0.9158 0.2961 1
I2 I 0.6388 0.3723 0.3519 1
```

Summary:
volume = 198.8 Å³/cell
uncorrected energy = -4.308 eV/atom
DOS at the Fermi energy = 1.85 states/eV/f.u.